5
Lattice="-3.449 1.993 -1.961 -2.795 -2.523 2.352 3.054 3.812 3.528" Properties=species:S:1:pos:R:3 comment="PmTcGe3 | Alexandria via LeMat-Bulk | GGA-PBE | relaxed" m_tot_mub_per_fu=0.0 formation_enthalpy_0k_ev_per_fu=-2.175 final_energy_ev_per_atom=-6.229 pbc="T T T"
Pm -3.190 3.239 3.875
Tc -3.144 0.847 1.363
Ge -1.433 0.558 3.086
Ge -1.759 2.816 0.930
Ge -0.058 3.024 3.175